No. 1
# LaCeCuIr

An optimized crystal structure of LaCeCuIr (PBE, Alexandria via LeMat-Bulk).

energy relative to the elements = -0.395 eV/atom
VASP energy = -25.40 eV per formula unit

abc: 5.0379 5.0379 5.0379
angles: 60.00 60.00 60.00
Positions (direct):
La 0.0000 0.0000 0.0000
Ce 0.5000 0.5000 0.5000
Cu 0.2500 0.2500 0.2500
Ir 0.7500 0.7500 0.7500


No. 2
# Sc2SnGeOs

An optimized crystal structure of Sc2SnGeOs (PBE, Alexandria via LeMat-Bulk).

energy relative to the elements = 0.925 eV/atom
VASP energy = -27.89 eV per formula unit

abc: 5.2527 5.2527 4.8490
angles: 90.00 90.00 90.00
Positions (direct):
Sc 0.0000 0.5000 0.0000
Sc 0.5000 0.0000 0.0000
Sn 0.0000 0.0000 0.0000
Ge 0.5000 0.5000 0.5000
Os 0.0000 0.0000 0.5000


No. 3
# IrRh2

An optimized crystal structure of IrRh2 (PBE, Alexandria via LeMat-Bulk).

energy relative to the elements = 0.044 eV/atom
VASP energy = -23.43 eV per formula unit
energy relative to the lowest polymorph listed for this composition = 58 meV per atom

abc: 7.2348 7.2348 4.4247
angles: 90.00 90.00 158.18
Positions (direct):
Ir 0.2221 0.7779 0.7500
Ir 0.7779 0.2221 0.2500
Rh 0.1112 0.8888 0.2500
Rh 0.4446 0.5554 0.2500
Rh 0.5554 0.4446 0.7500
Rh 0.8888 0.1112 0.7500


No. 4
# TbY3Zn

An optimized crystal structure of TbY3Zn (PBE, Alexandria via LeMat-Bulk).

energy relative to the elements = -0.127 eV/atom
VASP energy = -25.93 eV per formula unit
energy relative to the lowest polymorph listed for this composition = 0 meV per atom

abc: 14.6920 14.6920 5.3965
angles: 90.11 90.11 14.26
Positions (direct):
Tb 0.2321 0.2321 0.2496
Tb 0.7679 0.7679 0.7504
Y 0.1583 0.1583 0.7486
Y 0.3769 0.3769 0.7522
Y 0.4555 0.4555 0.2539
Y 0.5445 0.5445 0.7461
Y 0.6231 0.6231 0.2478
Y 0.8417 0.8417 0.2514
Zn 0.0401 0.0401 0.2422
Zn 0.9599 0.9599 0.7578


No. 5
# BaIn6Pt4

An optimized crystal structure of BaIn6Pt4 (PBE, Alexandria via LeMat-Bulk).

energy relative to the elements = -0.558 eV/atom
VASP energy = -48.66 eV per formula unit
energy relative to the lowest polymorph listed for this composition = 31 meV per atom

abc: 7.1556 7.1556 7.1556
angles: 119.85 119.85 90.26
Positions (direct):
Ba 0.0000 0.0000 0.0000
In 0.0000 0.5000 0.5000
In 0.1196 0.4745 0.0000
In 0.4745 0.1196 0.0000
In 0.5000 0.0000 0.5000
In 0.5255 0.5255 0.6451
In 0.8804 0.8804 0.3549
Pt 0.2488 0.2488 0.6556
Pt 0.4068 0.7512 0.0000
Pt 0.5932 0.5932 0.3444
Pt 0.7512 0.4068 0.0000


No. 6
# KTb2Se

An optimized crystal structure of KTb2Se (PBE, Alexandria via LeMat-Bulk).

energy relative to the elements, uncorrected = -0.58 eV per atom
VASP energy = -16.15 eV per formula unit

abc: 11.2920 11.2920 11.2920
angles: 19.88 19.88 19.88
Positions (direct):
K 0.0000 0.0000 0.0000
Tb 0.1151 0.1151 0.1151
Tb 0.8849 0.8849 0.8849
Se 0.5000 0.5000 0.5000


No. 7
# InHgMo4

An optimized crystal structure of InHgMo4 (PBE, Alexandria via LeMat-Bulk).

energy relative to the elements = 0.549 eV/atom
VASP energy = -43.07 eV per formula unit

abc: 5.3650 5.3650 5.3650
angles: 60.00 60.00 60.00
Positions (direct):
In 0.0000 0.0000 0.0000
Hg 0.2500 0.2500 0.2500
Mo 0.1283 0.6239 0.6239
Mo 0.6239 0.1283 0.6239
Mo 0.6239 0.6239 0.1283
Mo 0.6239 0.6239 0.6239


No. 8
# TbFe4Os

An optimized crystal structure of TbFe4Os (PBE, Alexandria via LeMat-Bulk).

energy relative to the elements = 0.095 eV/atom
VASP energy = -49.14 eV per formula unit

abc: 4.9651 4.9651 4.9651
angles: 60.00 60.00 60.00
Positions (direct):
Tb 0.0000 0.0000 0.0000
Fe 0.3757 0.3757 0.3757
Fe 0.3757 0.3757 0.8729
Fe 0.3757 0.8729 0.3757
Fe 0.8729 0.3757 0.3757
Os 0.7500 0.7500 0.7500


No. 9
# Mn3CoSe

An optimized crystal structure of Mn3CoSe (PBE, Alexandria via LeMat-Bulk).

energy relative to the elements, uncorrected = 0.72 eV per atom
VASP energy = -34.48 eV per formula unit
energy relative to the lowest polymorph listed for this composition = 0 meV per atom

abc: 4.5067 4.5067 4.5067
angles: 90.00 90.00 90.00
Positions (direct):
Mn 0.0000 0.0000 0.5000
Mn 0.0000 0.5000 0.0000
Mn 0.5000 0.0000 0.0000
Co 0.0000 0.0000 0.0000
Se 0.5000 0.5000 0.5000


No. 10
# Co2RePt

An optimized crystal structure of Co2RePt (PBE, Alexandria via LeMat-Bulk).

energy relative to the elements = 0.007 eV/atom
VASP energy = -32.67 eV per formula unit
energy relative to the lowest polymorph listed for this composition = 19 meV per atom

abc: 2.6829 2.6829 7.2804
angles: 90.00 90.00 90.00
Positions (direct):
Co 0.0000 0.0000 0.0000
Co 0.5000 0.5000 0.2180
Re 0.5000 0.5000 0.7593
Pt 0.0000 0.0000 0.4804


No. 11
# MgAl2W

An optimized crystal structure of MgAl2W (PBE, Alexandria via LeMat-Bulk).

energy relative to the elements = 0.408 eV/atom
VASP energy = -20.40 eV per formula unit

abc: 4.5121 4.5121 4.5121
angles: 60.00 60.00 60.00
Positions (direct):
Mg 0.0000 0.0000 0.0000
Al 0.5000 0.5000 0.5000
Al 0.7500 0.7500 0.7500
W 0.2500 0.2500 0.2500


No. 12
# V3H3Au

An optimized crystal structure of V3H3Au (PBE, Alexandria via LeMat-Bulk).

VASP energy = -41.84 eV per formula unit

abc: 5.0708 5.0708 5.0708
angles: 90.00 90.00 90.00
Positions (direct):
V 0.0000 0.2500 0.5000
V 0.0000 0.7500 0.5000
V 0.2500 0.5000 0.0000
V 0.5000 0.0000 0.2500
V 0.5000 0.0000 0.7500
V 0.7500 0.5000 0.0000
H 0.0000 0.5000 0.2500
H 0.0000 0.5000 0.7500
H 0.2500 0.0000 0.5000
H 0.5000 0.2500 0.0000
H 0.5000 0.7500 0.0000
H 0.7500 0.0000 0.5000
Au 0.0000 0.0000 0.0000
Au 0.5000 0.5000 0.5000


No. 13
# Pm7Y3Tm

An optimized crystal structure of Pm7Y3Tm (PBE, Alexandria via LeMat-Bulk).

energy relative to the elements = 0.237 eV/atom
VASP energy = -54.51 eV per formula unit
energy relative to the lowest polymorph listed for this composition = 53 meV per atom

abc: 8.5522 8.5522 5.8916
angles: 110.09 110.09 82.88
Positions (direct):
Pm 0.0000 0.0000 0.0000
Pm 0.0963 0.5178 0.3073
Pm 0.2882 0.2882 0.7901
Pm 0.4822 0.9037 0.6927
Pm 0.5178 0.0963 0.3073
Pm 0.7118 0.7118 0.2099
Pm 0.9037 0.4822 0.6927
Y 0.2954 0.7046 0.0000
Y 0.5000 0.5000 0.5000
Y 0.7046 0.2954 0.0000
Tm 0.0000 0.0000 0.5000


No. 14
# LiMo2Cl

An optimized crystal structure of LiMo2Cl (PBE, Alexandria via LeMat-Bulk).

energy relative to the elements, uncorrected = 0.38 eV per atom
VASP energy = -23.90 eV per formula unit
energy relative to the lowest polymorph listed for this composition = 483 meV per atom

abc: 6.2107 6.2107 3.1561
angles: 104.64 104.64 132.06
Positions (direct):
Li 0.0000 0.0000 0.0000
Mo 0.0000 0.5000 0.0000
Mo 0.5000 0.0000 0.0000
Cl 0.5000 0.5000 0.0000


No. 15
# LiAcLaHo

An optimized crystal structure of LiAcLaHo (PBE, Alexandria via LeMat-Bulk).

energy relative to the elements = 0.239 eV/atom
VASP energy = -14.57 eV per formula unit

abc: 5.7968 5.7968 5.7968
angles: 60.00 60.00 60.00
Positions (direct):
Li 0.0000 0.0000 0.0000
Ac 0.5000 0.5000 0.5000
La 0.2500 0.2500 0.2500
Ho 0.7500 0.7500 0.7500


No. 16
# CaVBr2

An optimized crystal structure of CaVBr2 (PBE, Alexandria via LeMat-Bulk).

energy relative to the elements, uncorrected = -0.37 eV per atom
VASP energy = -15.96 eV per formula unit
energy relative to the lowest polymorph listed for this composition = 140 meV per atom

abc: 5.1393 5.1393 5.1393
angles: 60.00 60.00 60.00
Positions (direct):
Ca 0.0000 0.0000 0.0000
V 0.5000 0.5000 0.5000
Br 0.2500 0.2500 0.2500
Br 0.7500 0.7500 0.7500


No. 17
# Cr2SiAg

An optimized crystal structure of Cr2SiAg (PBE, Alexandria via LeMat-Bulk).

energy relative to the elements, uncorrected = 0.30 eV per atom
VASP energy = -26.31 eV per formula unit

abc: 2.6049 2.6049 8.0119
angles: 90.00 90.00 101.07
Positions (direct):
Cr 0.0000 0.0000 0.2196
Cr 0.0000 0.0000 0.7804
Si 0.5000 0.5000 0.0000
Ag 0.5000 0.5000 0.5000


No. 18
# Sr3PaB2N6

An optimized crystal structure of Sr3PaB2N6 (PBE, Alexandria via LeMat-Bulk).

energy relative to the elements, uncorrected = -1.08 eV per atom
VASP energy = -90.80 eV per formula unit

abc: 5.6970 5.6970 6.6829
angles: 90.00 90.00 120.00
Positions (direct):
Sr 0.0000 0.0000 0.0000
Sr 0.3333 0.6667 0.6858
Sr 0.6667 0.3333 0.3142
Pa 0.0000 0.0000 0.5000
B 0.3333 0.6667 0.2756
B 0.6667 0.3333 0.7244
N 0.1848 0.3696 0.2931
N 0.1848 0.8152 0.2931
N 0.3696 0.1848 0.7069
N 0.6304 0.8152 0.2931
N 0.8152 0.1848 0.7069
N 0.8152 0.6304 0.7069


No. 19
# MnTcNi3

An optimized crystal structure of MnTcNi3 (PBE, Alexandria via LeMat-Bulk).

energy relative to the elements = 1.287 eV/atom
VASP energy = -30.45 eV per formula unit
energy relative to the lowest polymorph listed for this composition = 0 meV per atom

abc: 4.4455 4.4455 4.4455
angles: 90.00 90.00 90.00
Positions (direct):
Mn 0.0000 0.0000 0.0000
Tc 0.5000 0.5000 0.5000
Ni 0.0000 0.5000 0.5000
Ni 0.5000 0.0000 0.5000
Ni 0.5000 0.5000 0.0000


No. 20
# NaCaIn2Ni

An optimized crystal structure of NaCaIn2Ni (PBE, Alexandria via LeMat-Bulk).

energy relative to the elements = 1.176 eV/atom
VASP energy = -8.70 eV per formula unit
energy relative to the lowest polymorph listed for this composition = 1343 meV per atom

abc: 5.7919 5.7919 5.5690
angles: 90.00 90.00 90.00
Positions (direct):
Na 0.0000 0.0000 0.0000
Ca 0.0000 0.0000 0.5000
In 0.0000 0.5000 0.5000
In 0.5000 0.0000 0.5000
Ni 0.5000 0.5000 0.0000


No. 21
# KPRu2

An optimized crystal structure of KPRu2 (PBE, Alexandria via LeMat-Bulk).

energy relative to the elements = 0.220 eV/atom
VASP energy = -24.18 eV per formula unit

abc: 4.7190 4.7190 6.5565
angles: 100.56 100.56 36.68
Positions (direct):
K 0.0000 0.0000 0.0000
P 0.2254 0.2254 0.6574
Ru 0.5208 0.5208 0.5015
Ru 0.7834 0.7834 0.4121


No. 22
# PaTlInO6

An optimized crystal structure of PaTlInO6 (PBE, Alexandria via LeMat-Bulk).

energy relative to the elements, uncorrected = -1.84 eV per atom
VASP energy = -60.89 eV per formula unit

abc: 5.6043 5.6043 4.8097
angles: 90.00 90.00 120.00
Positions (direct):
Pa 0.0000 0.0000 0.0000
Tl 0.3333 0.6667 0.5000
In 0.6667 0.3333 0.5000
O 0.3293 0.0108 0.7462
O 0.3293 0.3184 0.2538
O 0.6816 0.0108 0.2538
O 0.6816 0.6707 0.7462
O 0.9892 0.3184 0.7462
O 0.9892 0.6707 0.2538


No. 23
# DyYPb2

An optimized crystal structure of DyYPb2 (PBE, Alexandria via LeMat-Bulk).

energy relative to the elements = -0.498 eV/atom
VASP energy = -20.47 eV per formula unit

abc: 4.5045 4.4527 6.2578
angles: 90.00 111.03 90.00
Positions (direct):
Dy 0.0000 0.0000 0.0000
Y 0.7433 0.5000 0.4811
Pb 0.2723 0.0000 0.5383
Pb 0.4707 0.5000 0.9423


No. 24
# AsHPd2

An optimized crystal structure of AsHPd2 (PBE, Alexandria via LeMat-Bulk).

VASP energy = -17.60 eV per formula unit
energy relative to the lowest polymorph listed for this composition = 344 meV per atom

abc: 4.2273 4.2273 4.2273
angles: 60.00 60.00 60.00
Positions (direct):
As 0.0000 0.0000 0.0000
H 0.5000 0.5000 0.5000
Pd 0.2500 0.2500 0.2500
Pd 0.7500 0.7500 0.7500


No. 25
# Ce2HgRhAu

An optimized crystal structure of Ce2HgRhAu (PBE, Alexandria via LeMat-Bulk).

energy relative to the elements = -0.523 eV/atom
VASP energy = -25.41 eV per formula unit

abc: 7.1772 4.6069 7.5316
angles: 90.00 107.12 90.00
Positions (direct):
Ce 0.0234 0.2500 0.2104
Ce 0.3419 0.7500 0.6419
Ce 0.6581 0.2500 0.3581
Ce 0.9766 0.7500 0.7896
Hg 0.3395 0.7500 0.2107
Hg 0.6605 0.2500 0.7893
Rh 0.0838 0.2500 0.6017
Rh 0.9162 0.7500 0.3983
Au 0.3193 0.2500 0.9639
Au 0.6807 0.7500 0.0361


No. 26
# GaSbPb2

An optimized crystal structure of GaSbPb2 (PBE, Alexandria via LeMat-Bulk).

energy relative to the elements, uncorrected = 0.06 eV per atom
VASP energy = -14.33 eV per formula unit
energy relative to the lowest polymorph listed for this composition = 0 meV per atom

abc: 5.0657 5.0657 4.4334
angles: 90.00 90.00 90.00
Positions (direct):
Ga 0.0000 0.0000 0.0000
Sb 0.5000 0.5000 0.0000
Pb 0.0000 0.5000 0.5000
Pb 0.5000 0.0000 0.5000